Entry 1:
PBE-GGA ZnHgMo2, optimized geometry; E_form = 105 kJ/mol of formula units; offset from the most stable computed form = 1 kJ/mol of formula units
1.0
2.801 0.011 0.000
-0.927 2.643 0.000
0.000 0.000 9.294
Mo Hg Zn
2 1 1
Cartesian
0.000 0.000 0.203
0.937 1.327 2.302
0.937 1.327 6.975
0.000 0.000 4.462

Entry 2:
PBE-GGA CeGe6S8, optimized geometry; E_form (uncorrected) = -458 meV/atom
1.0
-5.374 -4.369 -1.170
2.867 -5.045 3.958
-3.398 2.181 5.748
Ge S Ce
6 8 1
Cartesian
-5.051 -3.174 5.464
-3.779 -2.823 2.096
-2.077 -1.337 4.532
-2.125 -4.410 6.440
-3.828 -5.896 4.004
-0.853 -4.059 3.072
-4.448 -5.448 6.430
-2.295 -2.239 7.500
-3.609 -4.994 1.036
-1.457 -1.784 2.106
-4.268 -0.306 4.553
-1.636 -6.927 3.983
-6.446 -3.547 3.520
0.542 -3.686 5.016
0.000 0.000 0.000

Entry 3:
PBE-GGA SrCe2NpO8, optimized geometry; E_form (uncorrected) = -3124 meV/atom
1.0
-2.288 -1.849 -2.840
3.241 -4.381 0.246
-4.294 -2.877 5.332
Np O Ce Sr
1 8 2 1
Cartesian
0.000 0.000 0.000
-0.940 -5.561 4.379
-4.862 -5.198 1.416
-2.414 -3.548 1.312
-4.683 -4.818 3.969
-2.400 -3.546 -1.642
1.522 -3.910 1.322
-0.926 -5.559 1.426
1.343 -4.289 -1.232
-2.739 -5.269 2.696
-0.601 -3.838 0.042
-2.147 -1.438 2.666

Entry 4:
PBE-GGA CdSBr2, optimized geometry; E_form (uncorrected) = 333 meV/atom; offset from the most stable computed form = 338 kJ/mol of formula units
1.0
-4.874 1.404 0.873
-2.636 2.535 -3.621
-3.840 -2.342 -2.501
Br S Cd
2 1 1
Cartesian
-2.837 0.399 -1.312
-8.512 1.198 -3.937
0.000 0.000 0.000
-5.674 0.799 -2.625

| no. | total magnetic moment (μB per formula unit) | DOS at the Fermi energy (states/eV/f.u.) |
| --- | --- | --- |
| 1 | 0.00 | 2.11 |
| 2 | 0.18 | 2.92 |
| 3 | 1.02 | 3.29 |
| 4 | 2.01 | 1.75 |